Crystalline Pm2Pr5Sn5 at its relaxed geometry, computed with PBE-GGA.

```
Pm2Pr5Sn5
1.0
4.500 0.000 0.000
-2.250 7.546 -0.201
0.000 -3.932 12.521
Pm Pr Sn
2 5 5
Cartesian
0.000 -2.357 9.814 Pm
2.250 5.971 2.506 Pm
2.250 -1.966 6.260 Pr
2.250 2.247 0.465 Pr
2.250 2.101 4.243 Pr
0.000 1.513 8.076 Pr
0.000 1.367 11.855 Pr
0.000 0.082 5.299 Sn
2.250 -0.161 9.886 Sn
0.000 3.775 2.433 Sn
2.250 3.532 7.021 Sn
0.000 0.000 0.000 Sn
```

Output
The energy of formation is -53.2 kJ per mole of atoms. The calculation puts the total magnetization at 0.91 μB per formula unit. Its calculated density is 6.26 g/cm³. The density of states at the Fermi level comes out at 7.672 states/eV/cell.



Crystalline PmPr8Sn6 at its relaxed geometry, computed with PBE-GGA.

```
PmPr8Sn6
1.0
9.442 0.000 0.000
4.721 8.177 0.000
4.721 2.726 6.656
Pm Pr Sn
1 8 6
Cartesian
0.000 0.000 0.000 Pm
7.859 2.736 2.064 Pr
11.002 2.723 4.593 Pr
6.299 5.464 4.593 Pr
9.442 5.451 0.004 Pr
9.442 5.451 6.652 Pr
12.585 5.438 2.064 Pr
7.882 8.180 2.064 Pr
11.025 8.167 4.593 Pr
7.846 2.727 5.308 Sn
11.003 2.707 1.349 Sn
6.284 5.471 1.349 Sn
12.599 5.431 5.308 Sn
7.880 8.196 5.308 Sn
11.038 8.176 1.349 Sn
```

Output
The energy of formation is -55.3 kJ per mole of atoms. The calculation puts the total magnetization at 0.00 μB per formula unit. Its calculated density is 6.41 g/cm³. The density of states at the Fermi level comes out at 9.217 states/eV/cell.



Crystalline Pm3PrSn2 at its relaxed geometry, computed with PBE-GGA.

```
Pm3PrSn2
1.0
4.634 0.000 0.000
0.000 4.634 0.000
0.000 0.000 8.838
Pm Pr Sn
3 1 2
Cartesian
2.317 0.000 3.106 Pm
0.000 2.317 5.731 Pm
0.000 0.000 0.000 Pm
2.317 2.317 0.000 Pr
2.317 0.000 6.345 Sn
0.000 2.317 2.492 Sn
```

Output
The energy of formation is -55.2 kJ per mole of atoms. The calculation puts the total magnetization at 0.00 μB per formula unit. The calculation puts the energy above the most stable polymorph in this dataset at 0.000 eV per formula unit. Its calculated density is 7.12 g/cm³. The density of states at the Fermi level comes out at 7.809 states/eV/cell.



Crystalline Pm4Pr3Sn4 at its relaxed geometry, computed with PBE-GGA.

```
Pm4Pr3Sn4
1.0
4.203 0.000 0.000
0.000 9.259 0.000
-2.102 -4.629 9.106
Pm Pr Sn
4 3 4
Cartesian
0.000 -1.663 6.006 Pm
2.102 2.967 3.101 Pm
2.102 6.292 3.101 Pm
0.000 1.663 6.006 Pm
0.000 0.000 1.768 Pr
2.102 4.629 7.338 Pr
0.000 4.629 0.000 Pr
0.000 4.629 4.890 Sn
2.102 0.000 4.216 Sn
2.102 7.208 0.000 Sn
2.102 2.051 0.000 Sn
```

Output
The energy of formation is -53.5 kJ per mole of atoms. The calculation puts the total magnetization at 1.10 μB per formula unit. Its calculated density is 6.92 g/cm³. The density of states at the Fermi level comes out at 13.086 states/eV/cell.



Crystalline Pm4Pr3Sn2 at its relaxed geometry, computed with PBE-GGA.

```
Pm4Pr3Sn2
1.0
-2.048 4.572 0.292
-5.580 -5.144 -1.705
0.714 -0.207 8.262
Pm Pr Sn
4 3 2
Cartesian
-2.501 1.143 7.691 Pm
-1.359 -0.922 4.911 Pm
-5.554 0.143 1.937 Pm
-4.412 -1.922 -0.843 Pm
-5.139 -2.562 4.091 Pr
0.000 0.000 0.000 Pr
-1.774 1.783 2.757 Pr
-2.597 -1.274 1.734 Sn
-4.316 0.495 5.114 Sn
```

Output
The energy of formation is -32.1 kJ per mole of atoms. The calculation puts the total magnetization at 0.00 μB per formula unit. Its calculated density is 7.00 g/cm³. The density of states at the Fermi level comes out at 11.430 states/eV/cell.



Crystalline Pm7PrSn2 at its relaxed geometry, computed with PBE-GGA.

```
Pm7PrSn2
1.0
5.722 0.000 0.000
0.000 9.071 -0.192
0.000 -4.174 8.056
Pm Pr Sn
7 1 2
Cartesian
0.000 5.952 1.750 Pm
0.000 -1.055 6.113 Pm
2.861 -0.764 2.447 Pm
2.861 5.660 5.416 Pm
2.861 2.533 0.394 Pm
2.861 2.364 7.469 Pm
2.861 2.448 3.932 Pm
0.000 0.000 0.000 Pr
2.861 5.061 2.304 Sn
2.861 -0.165 5.559 Sn
```

Output
The energy of formation is 14.7 kJ per mole of atoms. The calculation puts the total magnetization at 0.33 μB per formula unit. Its calculated density is 5.60 g/cm³. The density of states at the Fermi level comes out at 22.014 states/eV/cell.